Model w:
Below is a relaxed InCu3Si crystal, with properties calculated at the GGA-PBE level. Values from VASP.

Structure (Quantum ESPRESSO input):
```
&SYSTEM
  ibrav = 0, nat = 5, ntyp = 3
/
ATOMIC_SPECIES
Cu 63.55 Cu.upf
Si 28.09 Si.upf
In 114.82 In.upf
CELL_PARAMETERS angstrom
-2.648 3.402 1.300
-2.594 -0.634 -3.625
-2.556 -2.881 2.333
ATOMIC_POSITIONS crystal
Cu 0.000 0.500 0.000
Cu 0.500 0.000 0.000
Cu 0.000 0.000 0.500
Si 0.000 0.000 0.000
In 0.500 0.500 0.500
```

=====

Model x:
Below is a relaxed InCu3Si crystal, with properties calculated at the GGA-PBE level. Values from VASP.

Structure (Quantum ESPRESSO input):
```
&SYSTEM
  ibrav = 0, nat = 5, ntyp = 3
/
ATOMIC_SPECIES
In 114.82 In.upf
Cu 63.55 Cu.upf
Si 28.09 Si.upf
CELL_PARAMETERS angstrom
-2.766 -2.914 -2.586
3.831 -2.610 -1.158
-0.707 -2.744 3.848
ATOMIC_POSITIONS crystal
In 0.000 0.000 0.000
Cu 0.500 0.000 0.000
Cu 0.000 0.000 0.500
Cu 0.000 0.500 0.000
Si 0.500 0.500 0.500
```

=====

Sorted by energy, starting with the most stable: model w, model x.

=====

Model w:
Below is a relaxed In3CuSi crystal, with properties calculated at the GGA-PBE level. Values from VASP.

Structure (Quantum ESPRESSO input):
```
&SYSTEM
  ibrav = 0, nat = 5, ntyp = 3
/
ATOMIC_SPECIES
In 114.82 In.upf
Si 28.09 Si.upf
Cu 63.55 Cu.upf
CELL_PARAMETERS angstrom
-2.109 -1.933 4.140
-3.886 -1.640 -2.746
2.404 -4.348 -0.805
ATOMIC_POSITIONS crystal
In 0.500 0.000 0.000
In 0.000 0.500 0.000
In 0.000 0.000 0.500
Si 0.500 0.500 0.500
Cu 0.000 0.000 0.000
```

=====

Model x:
Below is a relaxed In3CuSi crystal, with properties calculated at the GGA-PBE level. Values from VASP.

Structure (Quantum ESPRESSO input):
```
&SYSTEM
  ibrav = 0, nat = 5, ntyp = 3
/
ATOMIC_SPECIES
Si 28.09 Si.upf
Cu 63.55 Cu.upf
In 114.82 In.upf
CELL_PARAMETERS angstrom
-4.872 -1.831 -0.385
1.844 -4.520 -1.846
0.314 -1.859 4.867
ATOMIC_POSITIONS crystal
Si 0.000 0.000 0.000
Cu 0.500 0.500 0.500
In 0.000 0.000 0.500
In 0.000 0.500 0.000
In 0.500 0.000 0.000
```

=====

Sorted by energy, starting with the most stable: model w, model x.

=====

Model w:
Below is a relaxed In2CuSn crystal, with properties calculated at the GGA-PBE level. Values from VASP.

Structure (Quantum ESPRESSO input):
```
&SYSTEM
  ibrav = 0, nat = 4, ntyp = 3
/
ATOMIC_SPECIES
Cu 63.55 Cu.upf
In 114.82 In.upf
Sn 118.71 Sn.upf
CELL_PARAMETERS angstrom
3.328 0.000 0.000
1.664 2.882 0.000
1.664 0.961 9.908
ATOMIC_POSITIONS crystal
Cu 0.500 0.500 0.500
In 0.899 0.899 0.303
In 0.101 0.101 0.697
Sn 0.000 0.000 0.000
```

=====

Model x:
Below is a relaxed In2CuSn crystal, with properties calculated at the GGA-PBE level. Values from VASP.

Structure (Quantum ESPRESSO input):
```
&SYSTEM
  ibrav = 0, nat = 4, ntyp = 3
/
ATOMIC_SPECIES
Sn 118.71 Sn.upf
Cu 63.55 Cu.upf
In 114.82 In.upf
CELL_PARAMETERS angstrom
-0.439 -0.583 4.349
2.573 -2.895 2.108
4.627 3.017 3.107
ATOMIC_POSITIONS crystal
Sn 0.502 0.502 0.494
Cu 0.662 0.662 0.015
In 0.274 0.274 0.178
In 0.063 0.063 0.812
```

=====

Model y:
Below is a relaxed In2CuSn crystal, with properties calculated at the GGA-PBE level. Values from VASP.

Structure (Quantum ESPRESSO input):
```
&SYSTEM
  ibrav = 0, nat = 8, ntyp = 3
/
ATOMIC_SPECIES
In 114.82 In.upf
Cu 63.55 Cu.upf
Sn 118.71 Sn.upf
CELL_PARAMETERS angstrom
4.239 0.184 0.000
-1.905 4.891 0.000
0.000 0.000 8.652
ATOMIC_POSITIONS crystal
In 0.661 0.287 0.052
In 0.661 0.287 0.448
In 0.339 0.713 0.552
In 0.339 0.713 0.948
Cu 0.261 0.473 0.250
Cu 0.739 0.527 0.750
Sn 0.033 0.110 0.750
Sn 0.967 0.890 0.250
```

=====

Model z:
Below is a relaxed In2CuSn crystal, with properties calculated at the GGA-PBE level. Values from VASP.

Structure (Quantum ESPRESSO input):
```
&SYSTEM
  ibrav = 0, nat = 4, ntyp = 3
/
ATOMIC_SPECIES
In 114.82 In.upf
Cu 63.55 Cu.upf
Sn 118.71 Sn.upf
CELL_PARAMETERS angstrom
0.000 3.616 3.616
3.616 0.000 3.616
3.616 3.616 0.000
ATOMIC_POSITIONS crystal
In 0.750 0.750 0.750
In 0.250 0.250 0.250
Cu 0.000 0.000 0.000
Sn 0.500 0.500 0.500
```

=====

Sorted by energy, starting with the most stable: model y, model x, model w, model z.